Density functional theory data (PBE-GGA) for crystalline CdHg2Au at its relaxed geometry.

Geometry as POSCAR:
```
CdHg2Au
1.0
4.7392 0.0000 0.0000
2.3696 4.1042 0.0000
2.3696 1.3681 4.9701
Hg Cd Au
2 1 1
direct
0.2685 0.2685 0.1946
0.0667 0.0667 0.8000
0.4868 0.4868 0.5395
0.6780 0.6780 0.9659
```

Results
Energy of formation: 0.0411 eV per atom
Total moment: 0.000 μB/atom
Energy: -1.158 eV per atom
Theoretical density: 12.205 g cm⁻³
Energy above the lowest structure with this stoichiometry: 0.19 eV per formula unit